Density functional theory data (PBE) for a geometry-optimized MgHNO2 structure.

a b c (Å): 3.9313 3.9313 4.5897
angles (deg): 90.00 90.00 90.00
Closest atoms and distances in Å follow each position.
Sites, in units of the cell vectors:
N  0.0000  0.0000  0.5000  2 Mg 2.29
Mg  0.0000  0.0000  0.0000  4 O 1.97
O  0.0000  0.5000  0.0000  2 Mg 1.97
O  0.5000  0.0000  0.0000  2 Mg 1.97
H  0.5000  0.5000  0.5000  4 N 2.78, 8 O 3.02

Summary:
Uncorrected energy = -18.43 eV per cell
M_tot = 0.800 μB/atom